# Li4CrCl, optimized geometry, DFT PBE
data_Li4CrCl
_space_group_name_H-M_alt 'F -4 3 m'
_space_group_IT_number 216
_space_group_name_Hall 'F -4 2 3'
_cell_length_a 7.863
_cell_length_b 7.863
_cell_length_c 7.863
_cell_angle_alpha 90.00
_cell_angle_beta 90.00
_cell_angle_gamma 90.00
loop_
_atom_site_label
_atom_site_type_symbol
_atom_site_fract_x
_atom_site_fract_y
_atom_site_fract_z
Li1 Li 0.124 0.124 0.376
Cr1 Cr 0.250 0.250 0.750
Cl1 Cl 0.000 0.000 0.000
# ΔE_f (raw)	204	meV/atom
# crystal system	cubic
# spin magnetization	5.37	μB/f.u.